## NaPr2InSe5 (PBE)

Data for a relaxed structure of NaPr2InSe5.

Electronic total energy: -4.824 eV per atom
Symmetry: No. 36
Size of the total moment: 0.0 Bohr magnetons per cell
Calculated density: 5.7 Mg/m³

Lattice parameters (Å, degrees): 4.185 9.341 12.412 90.00 90.00 102.94
Atoms (fractional coordinates):
Na (0.789, 0.577, 0.511)
Na (0.211, 0.423, 0.011)
Pr (0.865, 0.730, 0.806)
Pr (0.120, 0.240, 0.680)
Pr (0.135, 0.270, 0.306)
Pr (0.880, 0.760, 0.180)
In (0.562, 0.124, 0.958)
In (0.438, 0.876, 0.458)
Se (0.366, 0.732, 0.000)
Se (0.684, 0.368, 0.840)
Se (0.496, 0.992, 0.773)
Se (0.291, 0.582, 0.676)
Se (0.957, 0.913, 0.580)
Se (0.634, 0.268, 0.500)
Se (0.316, 0.632, 0.340)
Se (0.504, 0.008, 0.273)
Se (0.709, 0.418, 0.176)
Se (0.043, 0.087, 0.080)